# AlZnAu2

An optimized crystal structure of AlZnAu2 (PBE, Alexandria).

Cell: 3.0599 3.0599 25.4076 Å, 90.00 90.00 120.00°
Space group R3m (No. 160, hexagonal axes)
One atom of each set of equivalent atoms:
Al: 0.0000 0.0000 0.0000 x3
Zn: 0.0000 0.0000 0.7478 x3
Au: 0.0000 0.0000 0.2556 x3
Au: 0.0000 0.0000 0.4952 x3

Properties
N(E_F): 3.78 states/eV per cell
energy of formation: -132 meV per atom
density: 11.8 g/cm3



# SrGaPd2

An optimized crystal structure of SrGaPd2 (PBE, Alexandria).

Cell: 4.1417 4.1417 10.1142 Å, 90.00 90.00 90.00°
Space group P4/nmm (No. 129, origin choice 2)
One atom of each set of equivalent atoms:
Sr: 0.2500 0.2500 0.2040 x2
Ga: 0.2500 0.2500 0.6496 x2
Pd: 0.2500 0.2500 0.8997 x2
Pd: 0.2500 0.7500 0.5000 x2

Properties
N(E_F): 3.83 states/eV per cell
energy of formation: -589 meV per atom
density: 7.1 g/cm3



# TlZnRe2

An optimized crystal structure of TlZnRe2 (PBE, Alexandria).

Cell: 4.8651 2.9248 4.9167 Å, 90.00 108.38 90.00°
Space group P2/m (No. 10)
One atom of each set of equivalent atoms:
Tl: 0.0000 0.0000 0.0000 x1
Zn: 0.5000 0.5000 0.0000 x1
Re: 0.0000 0.5000 0.5000 x1
Re: 0.5000 0.0000 0.5000 x1

Properties
N(E_F): 3.25 states/eV per cell
energy of formation: 776 meV per atom
density: 16.1 g/cm3